Entry 1:
A geometry-optimized CrRu4Cl structure. Source: Alexandria via LeMat-Bulk, functional PBE-GGA.

Cell lengths 5.183, 5.183, 5.183 Å; angles 60.00, 60.00, 60.00 degrees
Atoms (fractional coordinates):
1 Cr 0.000 0.000 0.000
2 Ru 0.375 0.375 0.375
3 Ru 0.375 0.375 0.876
4 Ru 0.375 0.876 0.375
5 Ru 0.876 0.375 0.375
6 Cl 0.750 0.750 0.750

Computed properties:
- Total energy: -7.093 eV/atom
- Density of states at the Fermi level: 7.6 states/eV/f.u.
- M_tot: 1.4 μB/f.u.

***

Entry 2:
A geometry-optimized Na2CaScIn structure. Source: Alexandria via LeMat-Bulk, functional PBE-GGA.

Cell lengths 5.859, 5.859, 6.049 Å; angles 90.00, 90.00, 90.00 degrees
Atoms (fractional coordinates):
1 Na 0.000 0.500 0.000
2 Na 0.500 0.000 0.000
3 Ca 0.000 0.000 0.500
4 Sc 0.000 0.000 0.000
5 In 0.500 0.500 0.500

Computed properties:
- Calculated formation energy: 4.19 eV/f.u.
- Total energy: -1.904 eV/atom
- Density of states at the Fermi level: 5.9 states/eV/f.u.
- M_tot: 2.1 μB/f.u.

***

no.,theoretical density (g/cm³)
1,8.3
2,2.0